[1]
First-principles (PBE) data for a geometry-optimized LiDyBi structure, as listed in Alexandria via LeMat-Bulk.

Excess energy over the best structure of this formula in the dataset, eV/atom: 0.2752
SG: I4mm, No. 107
DFT formation energy, eV/atom: -0.334
M_tot, μB per formula unit: 0.205

a b c (Å): 4.201 4.201 5.401
angles (deg): 112.89 112.89 90.00
Site moments in Bohr magnetons follow the coordinates.
Positions (direct):
Dy 0.619 0.619 0.239  0.10
Bi 0.272 0.272 0.544  -0.01
Li 0.958 0.958 0.917  0.01



[2]
First-principles (PBE) data for a geometry-optimized LiDyBi2 structure, as listed in Alexandria via LeMat-Bulk.

Excess energy over the best structure of this formula in the dataset, eV/atom: 0.1139
SG: P4/mmm, No. 123
DFT formation energy, eV/atom: -0.487
M_tot, μB per formula unit: 0.000

a b c (Å): 4.031 4.031 6.785
angles (deg): 90.00 90.00 90.00
Positions (direct):
Li 0.500 0.500 0.000
Bi 0.000 0.000 0.754
Bi 0.000 0.000 0.246
Dy 0.500 0.500 0.500



[3]
First-principles (PBE) data for a geometry-optimized LiDyBi structure, as listed in Alexandria via LeMat-Bulk.

Excess energy over the best structure of this formula in the dataset, eV/atom: 0.0000
SG: P2_1/m, No. 11
DFT formation energy, eV/atom: -0.609
M_tot, μB per formula unit: 0.002

a b c (Å): 4.541 7.472 13.098
angles (deg): 89.63 90.00 90.00
Positions (direct):
Li 0.250 0.992 0.096
Li 0.250 0.825 0.450
Li 0.750 0.650 0.804
Li 0.750 0.175 0.550
Li 0.250 0.350 0.196
Li 0.750 0.008 0.904
Dy 0.750 0.512 0.375
Dy 0.250 0.989 0.691
Dy 0.750 0.011 0.309
Dy 0.750 0.654 0.073
Dy 0.250 0.488 0.625
Dy 0.250 0.346 0.927
Bi 0.250 0.780 0.907
Bi 0.750 0.279 0.756
Bi 0.750 0.775 0.569
Bi 0.750 0.220 0.093
Bi 0.250 0.225 0.431
Bi 0.250 0.721 0.244



[4]
First-principles (PBE) data for a geometry-optimized LiDy4Bi2 structure, as listed in Alexandria via LeMat-Bulk.

SG: P2_1/m, No. 11
DFT formation energy, eV/atom: -0.355
M_tot, μB per formula unit: 0.000

a b c (Å): 7.620 6.483 9.237
angles (deg): 90.00 118.05 90.00
Positions (direct):
Li 0.250 0.750 0.297
Li 0.750 0.250 0.703
Dy 0.550 0.499 0.215
Dy 0.081 0.750 0.885
Dy 0.919 0.250 0.115
Dy 0.550 0.001 0.215
Dy 0.004 0.250 0.528
Dy 0.450 0.999 0.785
Dy 0.450 0.501 0.785
Dy 0.996 0.750 0.472
Bi 0.820 0.750 0.077
Bi 0.180 0.250 0.923
Bi 0.343 0.250 0.429
Bi 0.657 0.750 0.571



[5]
First-principles (PBE) data for a geometry-optimized LiDy2Bi structure, as listed in Alexandria via LeMat-Bulk.

Excess energy over the best structure of this formula in the dataset, eV/atom: 0.0808
SG: Fm-3m, No. 225
DFT formation energy, eV/atom: -0.291
M_tot, μB per formula unit: 0.000

a b c (Å): 5.304 5.304 5.304
angles (deg): 60.00 60.00 60.00
Positions (direct):
Li 0.500 0.500 0.500
Bi 0.000 0.000 0.000
Dy 0.250 0.250 0.250
Dy 0.750 0.750 0.750



[6]
First-principles (PBE) data for a geometry-optimized LiDyBi structure, as listed in Alexandria via LeMat-Bulk.

Excess energy over the best structure of this formula in the dataset, eV/atom: 0.0378
SG: P-6m2, No. 187
DFT formation energy, eV/atom: -0.571
M_tot, μB per formula unit: 0.001

a b c (Å): 4.177 4.519 4.519
angles (deg): 120.00 90.00 90.00
Positions (direct):
Li 0.833 0.000 0.000
Bi 0.833 0.667 0.333
Dy 0.333 0.333 0.667



[7]
First-principles (PBE) data for a geometry-optimized LiDyBi structure, as listed in Alexandria via LeMat-Bulk.

Excess energy over the best structure of this formula in the dataset, eV/atom: 0.1845
SG: C2/m, No. 12
DFT formation energy, eV/atom: -0.425
M_tot, μB per formula unit: 0.205

a b c (Å): 4.857 4.856 9.080
angles (deg): 90.14 74.61 60.04
Site moments in Bohr magnetons follow the coordinates.
Positions (direct):
Dy 0.106 0.534 0.842  0.16
Dy 0.606 0.783 0.591  0.16
Bi 0.372 0.399 0.441  -0.01
Bi 0.341 0.918 0.992  -0.01
Li 0.109 0.030 0.335  0.00
Li 0.603 0.287 0.098  0.00



[8]
First-principles (PBE) data for a geometry-optimized Li7DyBi4 structure, as listed in Alexandria via LeMat-Bulk.

SG: C2/m, No. 12
DFT formation energy, eV/atom: -0.275
M_tot, μB per formula unit: 0.549

a b c (Å): 5.173 8.898 6.845
angles (deg): 85.60 67.80 73.10
Site moments in Bohr magnetons follow the coordinates.
Positions (direct):
Li 0.782 0.902 0.534  0.00
Li 0.218 0.098 0.466  0.00
Li 0.070 0.634 0.226  0.00
Li 0.930 0.366 0.774  0.00
Li 0.348 0.559 0.745  0.00
Li 0.500 0.000 0.000  0.09
Li 0.652 0.441 0.255  0.00
Dy 0.000 0.000 0.000  0.34
Bi 0.582 0.220 0.617  -0.01
Bi 0.418 0.780 0.383  -0.01
Bi 0.711 0.702 0.877  -0.01
Bi 0.289 0.298 0.123  -0.01